No. 1
PBE SiAuS3, relaxed; D(E_F) = 4.8 states/eV/f.u.; magnetization = 0.00 μB per cell; ΔE_f (raw) = 512 meV/atom
1.0
4.518 0.000 0.000
0.000 4.518 0.000
0.000 0.000 4.518
Si Au S
1 1 3
Direct
0.000 0.000 0.000 Si
0.500 0.500 0.500 Au
0.000 0.000 0.500 S
0.000 0.500 0.000 S
0.500 0.000 0.000 S



No. 2
PBE NiH2Cl, relaxed; D(E_F) = 1.8 states/eV/f.u.; uncorrected energy = -2.5571 eV per atom; magnetization = 0.00 μB per cell
1.0
0.000 2.631 2.631
2.631 0.000 2.631
2.631 2.631 0.000
Ni H Cl
1 2 1
Direct
0.000 0.000 0.000 Ni
0.250 0.250 0.250 H
0.750 0.750 0.750 H
0.500 0.500 0.500 Cl



No. 3
PBE KCd2PbF8, relaxed; D(E_F) = 2.6 states/eV/f.u.; magnetization = 0.00 μB per cell; ΔE_f (raw) = -2226 meV/atom
1.0
4.084 0.000 0.000
0.000 7.859 0.000
-0.016 0.000 5.706
K Cd Pb F
1 2 1 8
Direct
0.000 0.000 0.000 K
0.500 0.238 0.500 Cd
0.500 0.762 0.500 Cd
0.000 0.500 0.000 Pb
0.001 0.278 0.268 F
0.001 0.722 0.268 F
0.499 0.000 0.726 F
0.499 0.500 0.762 F
0.501 0.000 0.274 F
0.501 0.500 0.238 F
0.999 0.278 0.732 F
0.999 0.722 0.732 F



No. 4
PBE CeBiS, relaxed; D(E_F) = 6.5 states/eV/f.u.; magnetization = 1.89 μB per cell; ΔE_f (raw) = -1173 meV/atom
1.0
2.404 -7.397 0.000
2.404 7.397 0.000
0.000 0.000 4.731
Ce Bi S
2 2 2
Direct
0.149 0.851 0.750 Ce
0.851 0.149 0.250 Ce
0.435 0.565 0.750 Bi
0.565 0.435 0.250 Bi
0.256 0.744 0.250 S
0.744 0.256 0.750 S



No. 5
PBE Al2Mo, relaxed; D(E_F) = 1.3 states/eV/f.u.; magnetization = 0.00 μB per cell; ΔE_f = -34 meV/atom
1.0
7.709 0.000 0.000
-3.855 6.676 0.000
0.000 0.000 2.733
Al Mo
6 3
Direct
0.000 0.301 0.000 Al
0.000 0.636 0.500 Al
0.301 0.000 0.000 Al
0.364 0.364 0.500 Al
0.636 0.000 0.500 Al
0.699 0.699 0.000 Al
0.000 0.000 0.500 Mo
0.333 0.667 0.000 Mo
0.667 0.333 0.000 Mo



No. 6
PBE Al2InOs, relaxed; D(E_F) = 2.1 states/eV/f.u.; magnetization = 0.00 μB per cell; ΔE_f = 59 meV/atom
1.0
-2.036 2.036 3.907
2.036 -2.036 3.907
2.036 2.036 -3.907
Al In Os
2 1 1
Direct
0.250 0.750 0.500 Al
0.750 0.250 0.500 Al
0.000 0.000 0.000 In
0.500 0.500 0.000 Os



No. 7
PBE Na2AlCoOs, relaxed; D(E_F) = 5.9 states/eV/f.u.; magnetization = 1.30 μB per cell; ΔE_f = 1206 meV/atom
1.0
4.958 0.000 0.000
0.000 4.958 0.000
0.000 0.000 4.431
Na Al Co Os
2 1 1 1
Direct
0.000 0.500 0.000 Na
0.500 0.000 0.000 Na
0.000 0.000 0.500 Al
0.500 0.500 0.000 Co
0.500 0.500 0.500 Os



No. 8
PBE Ta2Cr2Rh, relaxed; D(E_F) = 5.9 states/eV/f.u.; magnetization = 0.00 μB per cell; ΔE_f = 769 meV/atom
1.0
-1.957 1.957 5.356
1.957 -1.957 5.356
1.957 1.957 -5.356
Ta Cr Rh
2 2 1
Direct
0.250 0.750 0.500 Ta
0.750 0.250 0.500 Ta
0.087 0.087 0.000 Cr
0.913 0.913 0.000 Cr
0.500 0.500 0.000 Rh



No. 9
PBE Pm3Os, relaxed; D(E_F) = 4.5 states/eV/f.u.; magnetization = 0.00 μB per cell; ΔE_f = -49 meV/atom
1.0
11.838 0.000 0.000
0.000 11.838 0.000
0.000 0.000 6.445
Pm Os
24 8
Direct
0.031 0.596 0.196 Pm
0.096 0.969 0.696 Pm
0.113 0.667 0.693 Pm
0.119 0.193 0.023 Pm
0.167 0.887 0.193 Pm
0.193 0.381 0.477 Pm
0.307 0.119 0.477 Pm
0.333 0.613 0.193 Pm
0.381 0.307 0.023 Pm
0.387 0.833 0.693 Pm
0.404 0.531 0.696 Pm
0.469 0.904 0.196 Pm
0.531 0.096 0.804 Pm
0.596 0.469 0.304 Pm
0.613 0.167 0.307 Pm
0.619 0.693 0.977 Pm
0.667 0.387 0.807 Pm
0.693 0.881 0.523 Pm
0.807 0.619 0.523 Pm
0.833 0.113 0.807 Pm
0.881 0.807 0.977 Pm
0.887 0.333 0.307 Pm
0.904 0.031 0.304 Pm
0.969 0.404 0.804 Pm
0.051 0.187 0.511 Os
0.187 0.449 0.989 Os
0.313 0.051 0.989 Os
0.449 0.313 0.511 Os
0.551 0.687 0.489 Os
0.687 0.949 0.011 Os
0.813 0.551 0.011 Os
0.949 0.813 0.489 Os



No. 10
PBE TbThTcAu, relaxed; D(E_F) = 3.3 states/eV/f.u.; magnetization = 0.00 μB per cell; ΔE_f = -324 meV/atom
1.0
0.000 3.589 3.589
3.589 0.000 3.589
3.589 3.589 0.000
Tb Th Tc Au
1 1 1 1
Direct
0.000 0.000 0.000 Tb
0.500 0.500 0.500 Th
0.750 0.750 0.750 Tc
0.250 0.250 0.250 Au



No. 11
PBE ZnSn3Pt, relaxed; D(E_F) = 3.1 states/eV/f.u.; magnetization = 0.00 μB per cell; ΔE_f = 206 meV/atom
1.0
5.254 0.000 0.000
0.000 5.254 0.000
0.000 0.000 5.254
Zn Sn Pt
1 3 1
Direct
0.000 0.000 0.000 Zn
0.000 0.500 0.500 Sn
0.500 0.000 0.500 Sn
0.500 0.500 0.000 Sn
0.500 0.500 0.500 Pt



No. 12
PBE MoOs2Cl, relaxed; D(E_F) = 5.5 states/eV/f.u.; magnetization = 0.00 μB per cell; ΔE_f (raw) = 670 meV/atom
1.0
2.849 0.000 0.000
0.000 2.849 0.000
0.000 0.000 7.588
Mo Os Cl
1 2 1
Direct
0.000 0.000 0.000 Mo
0.500 0.500 0.240 Os
0.500 0.500 0.760 Os
0.000 0.000 0.500 Cl



> Among the records above, which one has the highest magnetization?

CeBiS



> What is the magnetization in the eighth record?

0.00 μB per cell



> The lowest D(E_F) belongs to which entry?

Al2Mo



> Number 7 is which compound?

Na2AlCoOs